1.
# PrPu2Th PBE optimized geometry
data_PrPu2Th
_chemical_formula_sum 'Pr3 Pu6 Th3'
_space_group_name_H-M_alt 'R -3 m'
_space_group_IT_number 166
_space_group_name_Hall '-R 3 2"'
_cell_length_a 4.1474
_cell_length_b 4.1474
_cell_length_c 27.8492
_cell_angle_alpha 90.00
_cell_angle_beta 90.00
_cell_angle_gamma 120.00
loop_
_atom_site_label
_atom_site_type_symbol
_atom_site_fract_x
_atom_site_fract_y
_atom_site_fract_z
Pr1 Pr 0.0000 0.0000 0.0000
Pu1 Pu 0.0000 0.0000 0.1103
Th1 Th 0.0000 0.0000 0.5000
# - mass density (Mg/m³) = 10.34
# - V (A^3/atom) = 34.57


2.
# PrPu2Th PBE optimized geometry
data_PrPu2Th
_chemical_formula_sum 'Pr1 Pu2 Th1'
_space_group_name_H-M_alt 'P 4/m m m'
_space_group_IT_number 123
_space_group_name_Hall '-P 4 2'
_cell_length_a 3.503
_cell_length_b 3.503
_cell_length_c 9.765
_cell_angle_alpha 90.00
_cell_angle_beta 90.00
_cell_angle_gamma 90.00
loop_
_atom_site_label
_atom_site_type_symbol
_atom_site_fract_x
_atom_site_fract_y
_atom_site_fract_z
Pr1 Pr 0.000 0.000 0.000
Pu1 Pu 0.500 0.500 0.264
Th1 Th 0.000 0.000 0.500
# - mass density (Mg/m³) = 11.93
# - V (A^3/atom) = 29.96


Ranked by calculated energy, most stable first: 2, 1.